VASP calculation (PBE) on an optimized crystal structure of KMn2Si.

Computed properties:
DOS(E_F)   2.2 states/eV/cell
Size of the total moment   5.4 Bohr magnetons per cell
Crystal system   monoclinic
SG   C2/m (12)
Formation energy without anion corrections   294 meV/atom

Cell: 4.083 4.083 6.742 Å, 72.33 72.33 60.04°
Site moments in Bohr magnetons follow the coordinates.
Positions (direct):
K 0.750 0.750 0.750  0.01
Mn 0.942 0.942 0.173  2.60
Mn 0.558 0.558 0.327  2.60
Si 0.250 0.250 0.250  -0.11